1.
## Nd2Tm5ThSc (PBE)

Data for an optimized crystal structure of Nd2Tm5ThSc.

The structure in POSCAR format:
```
Nd2Tm5ThSc
1.0
2.7744 -11.2018 0.0000
2.7744 11.2018 0.0000
0.0000 0.0000 9.1823
Nd Tm Th Sc
4 10 2 2
direct
0.1155 0.8845 0.5000
0.1392 0.8608 0.0633
0.8608 0.1392 0.5633
0.8845 0.1155 0.0000
0.0017 0.9983 0.7741
0.2658 0.7342 0.4348
0.2974 0.7026 0.0628
0.3870 0.6130 0.7414
0.4797 0.5203 0.0291
0.5203 0.4797 0.5291
0.6130 0.3870 0.2414
0.7026 0.2974 0.5628
0.7342 0.2658 0.9348
0.9983 0.0017 0.2741
0.3982 0.6018 0.3285
0.6018 0.3982 0.8285
0.2170 0.7830 0.7615
0.7830 0.2170 0.2615
```

Properties
- formation enthalpy at 0 K (eV per atom) = 0.1709

=====

2.
## Sr2Be2B (PBE)

Data for an optimized crystal structure of Sr2Be2B.

The structure in POSCAR format:
```
Sr2Be2B
1.0
-2.9101 2.9101 3.0151
2.9101 -2.9101 3.0151
2.9101 2.9101 -3.0151
Sr Be B
2 2 1
direct
0.2500 0.7500 0.5000
0.7500 0.2500 0.5000
0.1809 0.1809 0.0000
0.8191 0.8191 0.0000
0.5000 0.5000 0.0000
```

Properties
- E above lowest polymorph (meV per atom) = 0
- formation enthalpy at 0 K (eV per atom) = 0.5994

=====

3.
## PmEr7Cd4 (PBE)

Data for an optimized crystal structure of PmEr7Cd4.

The structure in POSCAR format:
```
PmEr7Cd4
1.0
7.3075 -2.8376 0.0000
7.3075 2.8376 0.0000
-5.1075 0.0000 8.2035
Pm Er Cd
1 7 4
direct
0.0000 0.0000 0.0000
0.0721 0.0721 0.4146
0.2062 0.2062 0.8801
0.2626 0.2626 0.3071
0.5000 0.5000 0.0000
0.7374 0.7374 0.6929
0.7938 0.7938 0.1199
0.9279 0.9279 0.5854
0.3182 0.3182 0.6596
0.4584 0.4584 0.2885
0.5416 0.5416 0.7115
0.6818 0.6818 0.3404
```

Properties
- formation enthalpy at 0 K (eV per atom) = 0.0176

=====

4.
## CaDy3Hg6 (PBE)

Data for an optimized crystal structure of CaDy3Hg6.

The structure in POSCAR format:
```
CaDy3Hg6
1.0
9.1827 0.0000 0.0000
0.0000 5.1712 0.0000
-3.1928 0.0000 10.6938
Ca Dy Hg
2 6 12
direct
0.0584 0.2500 0.3938
0.9416 0.7500 0.6062
0.2293 0.2500 0.0094
0.3550 0.7500 0.7996
0.4786 0.2500 0.6141
0.5214 0.7500 0.3859
0.6450 0.2500 0.2004
0.7707 0.7500 0.9906
0.0652 0.7500 0.8978
0.1419 0.7500 0.2015
0.1681 0.2500 0.6981
0.2562 0.7500 0.5116
0.3502 0.2500 0.3008
0.4616 0.7500 0.0890
0.5384 0.2500 0.9110
0.6498 0.7500 0.6992
0.7438 0.2500 0.4884
0.8319 0.7500 0.3019
0.8581 0.2500 0.7985
0.9348 0.2500 0.1022
```

Properties
- formation enthalpy at 0 K (eV per atom) = -0.4361

=====

5.
## Ti6NiRu (PBE)

Data for an optimized crystal structure of Ti6NiRu.

The structure in POSCAR format:
```
Ti6NiRu
1.0
2.7754 -4.9335 0.0000
2.7754 4.9335 0.0000
-2.7620 0.0000 4.8576
Ti Ni Ru
6 1 1
direct
0.0220 0.4446 0.2496
0.2429 0.2429 0.7615
0.4446 0.0220 0.2496
0.5554 0.9780 0.7504
0.7571 0.7571 0.2385
0.9780 0.5554 0.7504
0.0000 0.0000 0.0000
0.5000 0.5000 0.5000
```

Properties
- formation enthalpy at 0 K (eV per atom) = 0.0738

=====

6.
## BaY2 (PBE)

Data for an optimized crystal structure of BaY2.

The structure in POSCAR format:
```
BaY2
1.0
1.8756 -10.5366 0.0000
1.8756 10.5366 0.0000
0.0000 0.0000 5.9107
Ba Y
2 4
direct
0.2085 0.7915 0.7500
0.7915 0.2085 0.2500
0.0978 0.9022 0.2500
0.4561 0.5439 0.2500
0.5439 0.4561 0.7500
0.9022 0.0978 0.7500
```

Properties
- E above lowest polymorph (meV per atom) = 0
- formation enthalpy at 0 K (eV per atom) = 0.1606